Entry 1:
! AcSbP2, optimized geometry, DFT PBE-GGA; values from VASP
! - space-group type = Fm-3m
! - E above lowest polymorph (kJ/mol of atoms) = 18.2
! - final energy (eV per cell) = -20.44
! - formation energy without anion corrections (kJ/mol of formula units) = -134
&SYSTEM
  ibrav = 0, nat = 4, ntyp = 3
/
ATOMIC_SPECIES
Ac 227.00 Ac.upf
Sb 121.76 Sb.upf
P 30.97 P.upf
ATOMIC_POSITIONS crystal
Ac 0.000 0.000 0.000
Sb 0.500 0.500 0.500
P 0.250 0.250 0.250
P 0.750 0.750 0.750
CELL_PARAMETERS angstrom
0.000 3.646 3.646
3.646 0.000 3.646
3.646 3.646 0.000



Entry 2:
! Pm2PuMoN4, optimized geometry, DFT PBE-GGA; values from VASP
! - space-group type = Cmcm
! - final energy (eV per cell) = -150.56
! - formation energy without anion corrections (kJ/mol of formula units) = -706
&SYSTEM
  ibrav = 0, nat = 16, ntyp = 4
/
ATOMIC_SPECIES
Pm 145.00 Pm.upf
Pu 244.00 Pu.upf
Mo 95.94 Mo.upf
N 14.01 N.upf
ATOMIC_POSITIONS crystal
Pm 0.130 0.870 0.540
Pm 0.130 0.870 0.960
Pm 0.870 0.130 0.040
Pm 0.870 0.130 0.460
Pu 0.411 0.589 0.750
Pu 0.589 0.411 0.250
Mo 0.329 0.671 0.250
Mo 0.671 0.329 0.750
N 0.059 0.941 0.750
N 0.230 0.770 0.130
N 0.230 0.770 0.370
N 0.500 0.500 0.000
N 0.500 0.500 0.500
N 0.770 0.230 0.630
N 0.770 0.230 0.870
N 0.941 0.059 0.250
CELL_PARAMETERS angstrom
1.712 -5.990 0.000
1.712 5.990 0.000
0.000 0.000 12.321



Entry 3:
! NaNpBi2, optimized geometry, DFT PBE-GGA; values from VASP
! - space-group type = P4/mmm
! - E above lowest polymorph (kJ/mol of atoms) = 0.0
! - final energy (eV per cell) = -22.60
! - formation energy (eV/atom) = -0.146
&SYSTEM
  ibrav = 0, nat = 4, ntyp = 3
/
ATOMIC_SPECIES
Na 22.99 Na.upf
Np 237.00 Np.upf
Bi 208.98 Bi.upf
ATOMIC_POSITIONS crystal
Na 0.000 0.000 0.000
Np 0.000 0.000 0.500
Bi 0.500 0.500 0.254
Bi 0.500 0.500 0.746
CELL_PARAMETERS angstrom
3.453 0.000 0.000
0.000 3.453 0.000
0.000 0.000 9.683



Entry 4:
! CaZrMo, optimized geometry, DFT PBE-GGA; values from VASP
! - space-group type = I4mm
! - E above lowest polymorph (kJ/mol of atoms) = 0.0
! - final energy (eV per cell) = -20.27
! - formation energy (eV/atom) = 0.371
&SYSTEM
  ibrav = 0, nat = 3, ntyp = 3
/
ATOMIC_SPECIES
Ca 40.08 Ca.upf
Zr 91.22 Zr.upf
Mo 95.94 Mo.upf
ATOMIC_POSITIONS crystal
Ca 0.000 0.000 0.000
Zr 0.283 0.283 0.000
Mo 0.688 0.688 0.000
CELL_PARAMETERS angstrom
-1.776 1.776 5.739
1.776 -1.776 5.739
1.776 1.776 -5.739



Entry 5:
! LiBeSb2, optimized geometry, DFT PBE-GGA; values from VASP
! - space-group type = Cmmm
! - final energy (eV per cell) = -13.36
! - formation energy without anion corrections (kJ/mol of formula units) = 51
&SYSTEM
  ibrav = 0, nat = 4, ntyp = 3
/
ATOMIC_SPECIES
Li 6.94 Li.upf
Be 9.01 Be.upf
Sb 121.76 Sb.upf
ATOMIC_POSITIONS crystal
Li 0.000 0.000 0.000
Be 0.000 0.000 0.500
Sb 0.500 0.500 0.286
Sb 0.500 0.500 0.714
CELL_PARAMETERS angstrom
1.975 -2.717 0.000
1.975 2.717 0.000
0.000 0.000 7.873



Entry 6:
! PmNdN, optimized geometry, DFT PBE-GGA; values from VASP
! - space-group type = P2_1/m
! - E above lowest polymorph (kJ/mol of atoms) = 0.0
! - final energy (eV per cell) = -41.20
! - formation energy without anion corrections (kJ/mol of formula units) = -266
&SYSTEM
  ibrav = 0, nat = 6, ntyp = 3
/
ATOMIC_SPECIES
Pm 145.00 Pm.upf
Nd 144.24 Nd.upf
N 14.01 N.upf
ATOMIC_POSITIONS crystal
Pm 0.249 0.250 0.397
Pm 0.751 0.750 0.603
Nd 0.252 0.250 0.842
Nd 0.748 0.750 0.158
N 0.249 0.750 0.378
N 0.751 0.250 0.622
CELL_PARAMETERS angstrom
3.604 0.000 0.000
0.000 5.136 0.000
-0.022 0.000 7.715



Taking the records one at a time from the top gives magnetic moment values of 0.000 10.720 4.759 0.000 0.000 0.000 Bohr magnetons per cell.